# 1
Density functional theory data (GGA-PBE) for crystalline AcTc3C2 at its relaxed geometry.

Calculated values
As for the formation energy: 0.09 eV/atom. As for the total energy: -8.850 eV/atom. For the density, the calculation gives 9.78 g/cm3. The calculation puts the density of states at the Fermi level at 12.18 states/eV/cell.

Lattice parameters (Å, degrees): 13.139 3.833 8.169 90.00 115.83 90.00
Space group C2/m (No. 12)
Unique sites:
Ac 0.131 0.000 0.024 x4
Tc 0.066 0.000 0.412 x4
Tc 0.103 0.500 0.667 x4
Tc 0.209 0.500 0.387 x4
C 0.030 0.500 0.265 x4
C 0.178 0.000 0.719 x4

# 2
Density functional theory data (GGA-PBE) for crystalline Ce6Ir2PtCl3 at its relaxed geometry.

Calculated values
As for the total energy: -6.596 eV/atom. The value obtained for the formation energy from raw total energies is -1.19 eV/atom. For the density, the calculation gives 7.95 g/cm3. The calculation puts the density of states at the Fermi level at 72.03 states/eV/cell.

Lattice parameters (Å, degrees): 7.106 12.307 7.664 90.00 108.00 90.00
Space group C2/m (No. 12)
Unique sites:
Ce 0.230 0.000 0.212 x4
Ce 0.241 0.330 0.213 x8
Ir 0.000 0.167 0.000 x4
Pt 0.000 0.500 0.000 x2
Cl 0.000 0.000 0.500 x2
Cl 0.000 0.334 0.500 x4

# 3
Density functional theory data (GGA-PBE) for crystalline BeBAuBr2 at its relaxed geometry.

Calculated values
As for the total energy: -2.141 eV/atom. The value obtained for the formation energy from raw total energies is 1.26 eV/atom. For the density, the calculation gives 4.67 g/cm3. The calculation puts the density of states at the Fermi level at 3.15 states/eV/cell.

Lattice parameters (Å, degrees): 5.529 5.529 4.384 90.00 90.00 90.00
Space group P4/mmm (No. 123)
Unique sites:
Be 0.000 0.000 0.000 x1
B 0.500 0.500 0.000 x1
Au 0.000 0.000 0.500 x1
Br 0.000 0.500 0.500 x2

# 4
Density functional theory data (GGA-PBE) for crystalline In2PdBr2 at its relaxed geometry.

Calculated values
As for the total energy: -2.630 eV/atom. The value obtained for the formation energy from raw total energies is 0.17 eV/atom. The energy above the most stable polymorph in this dataset comes out at 347 meV per atom. For the density, the calculation gives 5.81 g/cm3. The calculation puts the density of states at the Fermi level at 17.38 states/eV/cell.

Lattice parameters (Å, degrees): 4.072 4.072 17.093 90.00 90.00 90.00
Space group I4/mmm (No. 139)
Unique sites:
In 0.000 0.500 0.250 x4
Pd 0.000 0.000 0.000 x2
Br 0.000 0.000 0.404 x4

# 5
Density functional theory data (GGA-PBE) for crystalline KTl2SbF6 at its relaxed geometry.

Calculated values
As for the total energy: -4.348 eV/atom. The value obtained for the formation energy from raw total energies is -2.23 eV/atom. For the density, the calculation gives 5.45 g/cm3. The calculation puts the density of states at the Fermi level at 0.00 states/eV/cell.

Lattice parameters (Å, degrees): 6.548 6.771 11.430 90.00 124.63 90.00
Space group P2_1/c (No. 14)
Unique sites:
K 0.000 0.000 0.000 x2
Tl 0.239 0.039 0.749 x4
Sb 0.500 0.000 0.500 x2
F 0.176 0.175 0.456 x4
F 0.274 0.727 0.443 x4
F 0.374 0.041 0.275 x4

# 6
Density functional theory data (GGA-PBE) for crystalline NbCoTeCl2 at its relaxed geometry.

Calculated values
As for the total energy: -4.513 eV/atom. The value obtained for the formation energy from raw total energies is 0.29 eV/atom. For the density, the calculation gives 5.67 g/cm3. The calculation puts the density of states at the Fermi level at 5.45 states/eV/cell.

Lattice parameters (Å, degrees): 4.321 4.321 5.498 90.00 90.00 90.00
Space group P4/mmm (No. 123)
Unique sites:
Nb 0.000 0.000 0.000 x1
Co 0.000 0.000 0.500 x1
Te 0.500 0.500 0.000 x1
Cl 0.000 0.500 0.500 x2

# 7
Density functional theory data (GGA-PBE) for crystalline Tl5Sn3I12 at its relaxed geometry.

Calculated values
As for the total energy: -2.675 eV/atom. The value obtained for the formation energy from raw total energies is -0.55 eV/atom. The energy above the most stable polymorph in this dataset comes out at 0 meV per atom. For the density, the calculation gives 5.61 g/cm3. The calculation puts the density of states at the Fermi level at 12.57 states/eV/cell.

Lattice parameters (Å, degrees): 14.5411 14.5411 4.6904 90.00 90.00 120.00
Space group P-62m (No. 189)
Unique sites:
Tl 0.0000 0.2877 0.0000 x3
Tl 0.3333 0.6667 0.0000 x2
Sn 0.0000 0.6749 0.5000 x3
I 0.0000 0.5299 0.0000 x3
I 0.0000 0.8245 0.0000 x3
I 0.1999 0.4498 0.5000 x6

# 8
Density functional theory data (GGA-PBE) for crystalline Tb3DyY3 at its relaxed geometry.

Calculated values
As for the formation energy: 0.01 eV/atom. As for the total energy: -5.403 eV/atom. The energy above the most stable polymorph in this dataset comes out at 0 meV per atom. For the density, the calculation gives 6.63 g/cm3. The calculation puts the density of states at the Fermi level at 30.30 states/eV/cell.

Lattice parameters (Å, degrees): 9.6082 9.6082 5.6771 90.00 90.00 120.00
Space group P6_3/m (No. 176)
Unique sites:
Tb 0.0485 0.8104 0.2500 x6
Dy 0.3333 0.6667 0.2500 x2
Y 0.0952 0.6202 0.7500 x6